{
  "formula": "SiMoP2",
  "functional": "PBE",
  "state": "relaxed",
  "formation_energy_uncorrected_ev_per_atom": 0.238,
  "sg": "C2/m",
  "lattice_angstrom": [[2.579, -3.584, 0.000], [2.579, 3.584, 0.000], [-1.219, 0.000, 3.212]],
  "species": ["Si", "Mo", "P", "P"],
  "frac_coords": [[0.000, 0.000, 0.000], [0.500, 0.500, 0.000], [0.000, 0.500, 0.500], [0.500, 0.000, 0.500]]
}

=====

{
  "formula": "SiMoP2",
  "functional": "PBE",
  "state": "relaxed",
  "formation_energy_uncorrected_ev_per_atom": 0.065,
  "sg": "Immm",
  "lattice_angstrom": [[-1.640, 2.270, 3.726], [1.640, -2.270, 3.726], [1.640, 2.270, -3.726]],
  "species": ["Si", "Mo", "P", "P"],
  "frac_coords": [[0.000, 0.000, 0.000], [0.500, 0.500, 0.000], [0.218, 0.718, 0.500], [0.782, 0.282, 0.500]]
}

=====

{
  "formula": "SiMoP2",
  "functional": "PBE",
  "state": "relaxed",
  "formation_energy_uncorrected_ev_per_atom": 0.027,
  "sg": "C2/m",
  "lattice_angstrom": [[4.129, -1.563, 0.000], [4.129, 1.563, 0.000], [-0.321, 0.000, 4.464]],
  "species": ["Si", "Mo", "P", "P"],
  "frac_coords": [[0.000, 0.000, 0.000], [0.500, 0.500, 0.500], [0.223, 0.223, 0.722], [0.777, 0.777, 0.278]]
}

=====

{
  "formula": "SiMo4P",
  "functional": "PBE",
  "state": "relaxed",
  "formation_energy_uncorrected_ev_per_atom": 0.588,
  "sg": "F-43m",
  "lattice_angstrom": [[0.000, 3.670, 3.670], [3.670, 0.000, 3.670], [3.670, 3.670, 0.000]],
  "species": ["Si", "Mo", "Mo", "Mo", "Mo", "P"],
  "frac_coords": [[0.000, 0.000, 0.000], [0.127, 0.624, 0.624], [0.624, 0.127, 0.624], [0.624, 0.624, 0.127], [0.624, 0.624, 0.624], [0.250, 0.250, 0.250]]
}

=====

{
  "formula": "SiMoP2",
  "functional": "PBE",
  "state": "relaxed",
  "formation_energy_uncorrected_ev_per_atom": 0.118,
  "sg": "I-42d",
  "lattice_angstrom": [[-2.771, 2.771, 5.011], [2.771, -2.771, 5.011], [2.771, 2.771, -5.011]],
  "species": ["Si", "Si", "Mo", "Mo", "P", "P", "P", "P"],
  "frac_coords": [[0.000, 0.000, 0.000], [0.750, 0.250, 0.500], [0.250, 0.750, 0.500], [0.500, 0.500, 0.000], [0.110, 0.625, 0.985], [0.375, 0.360, 0.485], [0.640, 0.125, 0.015], [0.875, 0.890, 0.515]]
}

=====

{
  "formula": "SiMoP2",
  "functional": "PBE",
  "state": "relaxed",
  "formation_energy_uncorrected_ev_per_atom": -0.016,
  "sg": "P4mm",
  "lattice_angstrom": [[3.147, 0.000, 0.000], [0.000, 3.147, 0.000], [0.000, 0.000, 6.499]],
  "species": ["Si", "Mo", "P", "P"],
  "frac_coords": [[0.000, 0.000, 0.000], [0.500, 0.500, 0.235], [0.000, 0.000, 0.412], [0.500, 0.500, 0.841]]
}

=====

{
  "formula": "SiMoP2",
  "functional": "PBE",
  "state": "relaxed",
  "formation_energy_uncorrected_ev_per_atom": 0.138,
  "sg": "P2/m",
  "lattice_angstrom": [[3.304, 0.000, 0.000], [0.000, 4.329, 0.000], [-0.587, 0.000, 4.292]],
  "species": ["Si", "Mo", "P", "P"],
  "frac_coords": [[0.000, 0.000, 0.000], [0.500, 0.000, 0.500], [0.393, 0.500, 0.225], [0.607, 0.500, 0.775]]
}

=====

{
  "formula": "SiMoP2",
  "functional": "PBE",
  "state": "relaxed",
  "formation_energy_uncorrected_ev_per_atom": 0.296,
  "sg": "Cmmm",
  "lattice_angstrom": [[1.611, -2.557, 0.000], [1.611, 2.557, 0.000], [0.000, 0.000, 7.239]],
  "species": ["Si", "Mo", "P", "P"],
  "frac_coords": [[0.000, 0.000, 0.000], [0.000, 0.000, 0.500], [0.500, 0.500, 0.245], [0.500, 0.500, 0.755]]
}